A PBEsol-optimized structure of Sr3TlF, computed with meta-GGA SCAN.

a = 6.270 Å, b = 6.270 Å, c = 6.270 Å
α = 90.00°, β = 90.00°, γ = 90.00°
Element x y z (fractional)
Sr 0.000 0.500 0.000
Sr 0.500 0.000 0.000
Sr 0.000 0.000 0.500
F 0.500 0.500 0.500
Tl 0.000 0.000 0.000

Properties
Volume   49.29 Å³ per atom
Size of the total moment   0.00 μB/f.u.
DOS(E_F)   1.44 states/eV/f.u.
Uncorrected energy   -145.87 eV/cell
Space group   Pm-3m